Arrangement one

Density functional theory data (PBE-GGA) for a relaxed SrHfNi2Pt crystal.

Values from the calculation:
- crystal system = tetragonal
- D(E_F) (states/eV/cell) = 3.59
- space group = P4/mmm (123)

The structure in CIF format:
```
data_SrHfNi2Pt
_symmetry_space_group_name_H-M 'P 1'
_symmetry_Int_Tables_number 1
_cell_length_a 4.443
_cell_length_b 4.443
_cell_length_c 5.367
_cell_angle_alpha 90.00
_cell_angle_beta 90.00
_cell_angle_gamma 90.00
loop_
_symmetry_equiv_pos_as_xyz
'x,y,z'
loop_
_atom_site_label
_atom_site_type_symbol
_atom_site_fract_x
_atom_site_fract_y
_atom_site_fract_z
Sr1 Sr 0.000 0.000 0.000
Hf1 Hf 0.000 0.000 0.500
Ni1 Ni 0.000 0.500 0.000
Ni2 Ni 0.500 0.000 0.000
Pt1 Pt 0.500 0.500 0.500
```


Arrangement two

Density functional theory data (PBE-GGA) for a relaxed SrHfNi2Pt crystal.

Values from the calculation:
- crystal system = tetragonal
- D(E_F) (states/eV/cell) = 3.01
- space group = P4/mmm (123)

The structure in CIF format:
```
data_SrHfNi2Pt
_symmetry_space_group_name_H-M 'P 1'
_symmetry_Int_Tables_number 1
_cell_length_a 4.745
_cell_length_b 4.745
_cell_length_c 5.094
_cell_angle_alpha 90.00
_cell_angle_beta 90.00
_cell_angle_gamma 90.00
loop_
_symmetry_equiv_pos_as_xyz
'x,y,z'
loop_
_atom_site_label
_atom_site_type_symbol
_atom_site_fract_x
_atom_site_fract_y
_atom_site_fract_z
Sr1 Sr 0.000 0.000 0.000
Hf1 Hf 0.500 0.500 0.500
Ni1 Ni 0.000 0.500 0.500
Ni2 Ni 0.500 0.000 0.500
Pt1 Pt 0.500 0.500 0.000
```


Order of stability, best first: arrangement two, arrangement one


Arrangement one

Density functional theory data (PBE-GGA) for a relaxed PuHf2Ni crystal.

Values from the calculation:
- crystal system = trigonal
- D(E_F) (states/eV/cell) = 27.61
- space group = R3m (160)

The structure in CIF format:
```
data_PuHf2Ni
_symmetry_space_group_name_H-M 'P 1'
_symmetry_Int_Tables_number 1
_cell_length_a 3.219
_cell_length_b 3.219
_cell_length_c 27.428
_cell_angle_alpha 90.00
_cell_angle_beta 90.00
_cell_angle_gamma 120.00
loop_
_symmetry_equiv_pos_as_xyz
'x,y,z'
loop_
_atom_site_label
_atom_site_type_symbol
_atom_site_fract_x
_atom_site_fract_y
_atom_site_fract_z
Pu1 Pu 0.000 0.000 0.000
Pu2 Pu 0.333 0.667 0.667
Pu3 Pu 0.667 0.333 0.333
Hf1 Hf 0.000 0.000 0.570
Hf2 Hf 0.000 0.000 0.765
Hf3 Hf 0.333 0.667 0.237
Hf4 Hf 0.333 0.667 0.432
Hf5 Hf 0.667 0.333 0.099
Hf6 Hf 0.667 0.333 0.903
Ni1 Ni 0.000 0.000 0.167
Ni2 Ni 0.333 0.667 0.834
Ni3 Ni 0.667 0.333 0.500
```


Arrangement two

Density functional theory data (PBE-GGA) for a relaxed PuHf2Ni crystal.

Values from the calculation:
- crystal system = trigonal
- D(E_F) (states/eV/cell) = 28.78
- space group = R-3m (166)

The structure in CIF format:
```
data_PuHf2Ni
_symmetry_space_group_name_H-M 'P 1'
_symmetry_Int_Tables_number 1
_cell_length_a 3.076
_cell_length_b 3.076
_cell_length_c 30.491
_cell_angle_alpha 90.00
_cell_angle_beta 90.00
_cell_angle_gamma 120.00
loop_
_symmetry_equiv_pos_as_xyz
'x,y,z'
loop_
_atom_site_label
_atom_site_type_symbol
_atom_site_fract_x
_atom_site_fract_y
_atom_site_fract_z
Pu1 Pu 0.000 0.000 0.000
Pu2 Pu 0.333 0.667 0.667
Pu3 Pu 0.667 0.333 0.333
Hf1 Hf 0.000 0.000 0.101
Hf2 Hf 0.000 0.000 0.899
Hf3 Hf 0.333 0.667 0.566
Hf4 Hf 0.333 0.667 0.768
Hf5 Hf 0.667 0.333 0.232
Hf6 Hf 0.667 0.333 0.434
Ni1 Ni 0.000 0.000 0.500
Ni2 Ni 0.333 0.667 0.167
Ni3 Ni 0.667 0.333 0.833
```


Order of stability, best first: arrangement one, arrangement two


Arrangement one

Density functional theory data (PBE-GGA) for a relaxed PuHfNi crystal.

Values from the calculation:
- crystal system = tetragonal
- D(E_F) (states/eV/cell) = 15.33
- space group = I4mm (107)

The structure in CIF format:
```
data_PuHfNi
_symmetry_space_group_name_H-M 'P 1'
_symmetry_Int_Tables_number 1
_cell_length_a 3.222
_cell_length_b 3.222
_cell_length_c 11.494
_cell_angle_alpha 90.00
_cell_angle_beta 90.00
_cell_angle_gamma 90.00
loop_
_symmetry_equiv_pos_as_xyz
'x,y,z'
loop_
_atom_site_label
_atom_site_type_symbol
_atom_site_fract_x
_atom_site_fract_y
_atom_site_fract_z
Pu1 Pu 0.000 0.000 0.000
Pu2 Pu 0.500 0.500 0.500
Hf1 Hf 0.000 0.000 0.290
Hf2 Hf 0.500 0.500 0.790
Ni1 Ni 0.000 0.000 0.674
Ni2 Ni 0.500 0.500 0.174
```


Arrangement two

Density functional theory data (PBE-GGA) for a relaxed PuHfNi crystal.

Values from the calculation:
- crystal system = orthorhombic
- D(E_F) (states/eV/cell) = 33.60
- space group = Fddd (70)

The structure in CIF format:
```
data_PuHfNi
_symmetry_space_group_name_H-M 'P 1'
_symmetry_Int_Tables_number 1
_cell_length_a 10.127
_cell_length_b 9.447
_cell_length_c 5.375
_cell_angle_alpha 81.18
_cell_angle_beta 67.19
_cell_angle_gamma 31.63
loop_
_symmetry_equiv_pos_as_xyz
'x,y,z'
loop_
_atom_site_label
_atom_site_type_symbol
_atom_site_fract_x
_atom_site_fract_y
_atom_site_fract_z
Pu1 Pu 0.044 0.044 0.206
Pu2 Pu 0.206 0.206 0.044
Pu3 Pu 0.794 0.794 0.956
Pu4 Pu 0.956 0.956 0.794
Hf1 Hf 0.205 0.545 0.205
Hf2 Hf 0.455 0.795 0.455
Hf3 Hf 0.545 0.205 0.545
Hf4 Hf 0.795 0.455 0.795
Ni1 Ni 0.252 0.252 0.498
Ni2 Ni 0.498 0.498 0.252
Ni3 Ni 0.502 0.502 0.748
Ni4 Ni 0.748 0.748 0.502
```


Order of stability, best first: arrangement two, arrangement one


Arrangement one

Density functional theory data (PBE-GGA) for a relaxed RbHf2Ni crystal.

Values from the calculation:
- crystal system = tetragonal
- D(E_F) (states/eV/cell) = 27.45
- space group = I4_1/amd (141)

The structure in CIF format:
```
data_RbHf2Ni
_symmetry_space_group_name_H-M 'P 1'
_symmetry_Int_Tables_number 1
_cell_length_a 6.119
_cell_length_b 6.119
_cell_length_c 15.211
_cell_angle_alpha 90.00
_cell_angle_beta 90.00
_cell_angle_gamma 90.00
loop_
_symmetry_equiv_pos_as_xyz
'x,y,z'
loop_
_atom_site_label
_atom_site_type_symbol
_atom_site_fract_x
_atom_site_fract_y
_atom_site_fract_z
Rb1 Rb 0.000 0.250 0.375
Rb2 Rb 0.000 0.750 0.625
Rb3 Rb 0.500 0.250 0.125
Rb4 Rb 0.500 0.750 0.875
Hf1 Hf 0.000 0.000 0.000
Hf2 Hf 0.000 0.500 0.000
Hf3 Hf 0.250 0.250 0.750
Hf4 Hf 0.250 0.750 0.250
Hf5 Hf 0.500 0.000 0.500
Hf6 Hf 0.500 0.500 0.500
Hf7 Hf 0.750 0.250 0.750
Hf8 Hf 0.750 0.750 0.250
Ni1 Ni 0.000 0.250 0.875
Ni2 Ni 0.000 0.750 0.125
Ni3 Ni 0.500 0.250 0.625
Ni4 Ni 0.500 0.750 0.375
```


Arrangement two

Density functional theory data (PBE-GGA) for a relaxed RbHf2Ni crystal.

Values from the calculation:
- crystal system = cubic
- D(E_F) (states/eV/cell) = 33.54
- space group = Fm-3m (225)

The structure in CIF format:
```
data_RbHf2Ni
_symmetry_space_group_name_H-M 'P 1'
_symmetry_Int_Tables_number 1
_cell_length_a 6.890
_cell_length_b 6.890
_cell_length_c 6.890
_cell_angle_alpha 90.00
_cell_angle_beta 90.00
_cell_angle_gamma 90.00
loop_
_symmetry_equiv_pos_as_xyz
'x,y,z'
loop_
_atom_site_label
_atom_site_type_symbol
_atom_site_fract_x
_atom_site_fract_y
_atom_site_fract_z
Rb1 Rb 0.000 0.000 0.000
Rb2 Rb 0.000 0.500 0.500
Rb3 Rb 0.500 0.000 0.500
Rb4 Rb 0.500 0.500 0.000
Hf1 Hf 0.250 0.250 0.250
Hf2 Hf 0.250 0.250 0.750
Hf3 Hf 0.250 0.750 0.250
Hf4 Hf 0.250 0.750 0.750
Hf5 Hf 0.750 0.250 0.250
Hf6 Hf 0.750 0.250 0.750
Hf7 Hf 0.750 0.750 0.250
Hf8 Hf 0.750 0.750 0.750
Ni1 Ni 0.000 0.000 0.500
Ni2 Ni 0.000 0.500 0.000
Ni3 Ni 0.500 0.000 0.000
Ni4 Ni 0.500 0.500 0.500
```


Order of stability, best first: arrangement two, arrangement one


Arrangement one

Density functional theory data (PBE-GGA) for a relaxed RbHfNi3 crystal.

Values from the calculation:
- crystal system = cubic
- D(E_F) (states/eV/cell) = 4.60
- space group = Pm-3m (221)

The structure in CIF format:
```
data_RbHfNi3
_symmetry_space_group_name_H-M 'P 1'
_symmetry_Int_Tables_number 1
_cell_length_a 4.882
_cell_length_b 4.882
_cell_length_c 4.882
_cell_angle_alpha 90.00
_cell_angle_beta 90.00
_cell_angle_gamma 90.00
loop_
_symmetry_equiv_pos_as_xyz
'x,y,z'
loop_
_atom_site_label
_atom_site_type_symbol
_atom_site_fract_x
_atom_site_fract_y
_atom_site_fract_z
Rb1 Rb 0.000 0.000 0.000
Hf1 Hf 0.500 0.500 0.500
Ni1 Ni 0.000 0.500 0.500
Ni2 Ni 0.500 0.000 0.500
Ni3 Ni 0.500 0.500 0.000
```


Arrangement two

Density functional theory data (PBE-GGA) for a relaxed RbHfNi3 crystal.

Values from the calculation:
- crystal system = cubic
- D(E_F) (states/eV/cell) = 8.33
- space group = Pm-3m (221)

The structure in CIF format:
```
data_RbHfNi3
_symmetry_space_group_name_H-M 'P 1'
_symmetry_Int_Tables_number 1
_cell_length_a 4.600
_cell_length_b 4.600
_cell_length_c 4.600
_cell_angle_alpha 90.00
_cell_angle_beta 90.00
_cell_angle_gamma 90.00
loop_
_symmetry_equiv_pos_as_xyz
'x,y,z'
loop_
_atom_site_label
_atom_site_type_symbol
_atom_site_fract_x
_atom_site_fract_y
_atom_site_fract_z
Rb1 Rb 0.000 0.000 0.000
Hf1 Hf 0.500 0.500 0.500
Ni1 Ni 0.000 0.000 0.500
Ni2 Ni 0.000 0.500 0.000
Ni3 Ni 0.500 0.000 0.000
```


Order of stability, best first: arrangement one, arrangement two


Arrangement one

Density functional theory data (PBE-GGA) for a relaxed RbHf3Ni crystal.

Values from the calculation:
- crystal system = cubic
- D(E_F) (states/eV/cell) = 7.30
- space group = Pm-3m (221)

The structure in CIF format:
```
data_RbHf3Ni
_symmetry_space_group_name_H-M 'P 1'
_symmetry_Int_Tables_number 1
_cell_length_a 4.944
_cell_length_b 4.944
_cell_length_c 4.944
_cell_angle_alpha 90.00
_cell_angle_beta 90.00
_cell_angle_gamma 90.00
loop_
_symmetry_equiv_pos_as_xyz
'x,y,z'
loop_
_atom_site_label
_atom_site_type_symbol
_atom_site_fract_x
_atom_site_fract_y
_atom_site_fract_z
Rb1 Rb 0.000 0.000 0.000
Hf1 Hf 0.000 0.000 0.500
Hf2 Hf 0.000 0.500 0.000
Hf3 Hf 0.500 0.000 0.000
Ni1 Ni 0.500 0.500 0.500
```


Arrangement two

Density functional theory data (PBE-GGA) for a relaxed RbHf3Ni crystal.

Values from the calculation:
- crystal system = cubic
- D(E_F) (states/eV/cell) = 6.15
- space group = Pm-3m (221)

The structure in CIF format:
```
data_RbHf3Ni
_symmetry_space_group_name_H-M 'P 1'
_symmetry_Int_Tables_number 1
_cell_length_a 5.027
_cell_length_b 5.027
_cell_length_c 5.027
_cell_angle_alpha 90.00
_cell_angle_beta 90.00
_cell_angle_gamma 90.00
loop_
_symmetry_equiv_pos_as_xyz
'x,y,z'
loop_
_atom_site_label
_atom_site_type_symbol
_atom_site_fract_x
_atom_site_fract_y
_atom_site_fract_z
Rb1 Rb 0.000 0.000 0.000
Hf1 Hf 0.000 0.500 0.500
Hf2 Hf 0.500 0.000 0.500
Hf3 Hf 0.500 0.500 0.000
Ni1 Ni 0.500 0.500 0.500
```


Order of stability, best first: arrangement two, arrangement one